(1)
! KBSN2 PBE-GGA optimized geometry; values from VASP
&SYSTEM
  ibrav = 0, nat = 5, ntyp = 4
/
ATOMIC_SPECIES
N 14.01 N.upf
K 39.10 K.upf
B 10.81 B.upf
S 32.06 S.upf
CELL_PARAMETERS angstrom
5.025 0.000 0.000
0.000 5.025 0.000
0.000 0.000 6.049
ATOMIC_POSITIONS crystal
N 0.500 0.000 0.000
N 0.000 0.500 0.000
K 0.000 0.000 0.000
B 0.500 0.500 0.500
S 0.000 0.000 0.500
! Total energy = -2.670 eV per atom
! E above lowest polymorph = 1.5730 eV per atom
! DOS at the Fermi energy = 3.31 states/eV per cell
! Formation energy (no corrections) = 3.041 eV per atom
! Crystal system = tetragonal

=====

(2)
! TcAgSb2Te PBE-GGA optimized geometry; values from VASP
&SYSTEM
  ibrav = 0, nat = 5, ntyp = 4
/
ATOMIC_SPECIES
Ag 107.87 Ag.upf
Sb 121.76 Sb.upf
Tc 98.00 Tc.upf
Te 127.60 Te.upf
CELL_PARAMETERS angstrom
5.139 0.000 0.000
0.000 5.139 0.000
0.000 0.000 5.314
ATOMIC_POSITIONS crystal
Ag 0.500 0.500 0.500
Sb 0.000 0.500 0.000
Sb 0.500 0.000 0.000
Tc 0.000 0.000 0.000
Te 0.000 0.000 0.500
! Total energy = -4.336 eV per atom
! E above lowest polymorph = 0.0000 eV per atom
! DOS at the Fermi energy = 4.81 states/eV per cell
! Formation energy (no corrections) = 0.585 eV per atom
! Crystal system = tetragonal

=====

(3)
! Ta2SbAs PBE-GGA optimized geometry; values from VASP
&SYSTEM
  ibrav = 0, nat = 4, ntyp = 3
/
ATOMIC_SPECIES
Ta 180.95 Ta.upf
Sb 121.76 Sb.upf
As 74.92 As.upf
CELL_PARAMETERS angstrom
-4.291 -0.481 2.698
-2.040 -2.837 3.702
0.897 2.528 3.920
ATOMIC_POSITIONS crystal
Ta 0.985 0.985 0.055
Ta 0.771 0.771 0.678
Sb 0.250 0.250 0.193
As 0.494 0.494 0.574
! Total energy = -8.214 eV per atom
! DOS at the Fermi energy = 1.36 states/eV per cell
! Formation energy (no corrections) = -0.094 eV per atom
! Crystal system = monoclinic

=====

Please write out number 1 again, unchanged.
! KBSN2 PBE-GGA optimized geometry; values from VASP
&SYSTEM
  ibrav = 0, nat = 5, ntyp = 4
/
ATOMIC_SPECIES
N 14.01 N.upf
K 39.10 K.upf
B 10.81 B.upf
S 32.06 S.upf
CELL_PARAMETERS angstrom
5.025 0.000 0.000
0.000 5.025 0.000
0.000 0.000 6.049
ATOMIC_POSITIONS crystal
N 0.500 0.000 0.000
N 0.000 0.500 0.000
K 0.000 0.000 0.000
B 0.500 0.500 0.500
S 0.000 0.000 0.500
! Total energy = -2.670 eV per atom
! E above lowest polymorph = 1.5730 eV per atom
! DOS at the Fermi energy = 3.31 states/eV per cell
! Formation energy (no corrections) = 3.041 eV per atom
! Crystal system = tetragonal

=====

Q: What is the formula in the second record?
A: TcAgSb2Te